Entry 1:
A plane-wave DFT calculation with PBE was carried out for a geometry-optimized CdOs structure.

The calculation puts the formation enthalpy at 0 K at 0.6792 eV per atom. Its crystal system is hexagonal. Its space group is P-6m2, No. 187.

a b c (Å): 2.833 2.833 4.776
angles (deg): 90.00 90.00 120.00
Atoms (fractional coordinates):
Os 0.333 0.667 0.250
Cd 0.667 0.333 0.750

***

Entry 2:
A plane-wave DFT calculation with PBE was carried out for a geometry-optimized GaSiMo structure.

Its crystal system is cubic. Its space group is F-43m, No. 216.

a b c (Å): 4.210 4.210 4.210
angles (deg): 60.00 60.00 60.00
Atoms (fractional coordinates):
Ga 0.250 0.250 0.250
Si 0.750 0.750 0.750
Mo 0.000 0.000 0.000

***

Entry 3:
A plane-wave DFT calculation with PBE was carried out for a geometry-optimized TbSmNi8B2 structure.

Its crystal system is hexagonal. Its space group is P6/mmm, No. 191.

a b c (Å): 5.015 5.015 6.994
angles (deg): 90.00 90.00 120.01
Atoms (fractional coordinates):
Ni 0.500 0.000 0.707
Ni 0.000 0.500 0.707
Ni 0.000 0.500 0.293
B 0.333 0.667 0.500
B 0.667 0.333 0.500
Tb 0.000 0.000 0.500
Ni 0.667 0.333 0.000
Ni 0.500 0.500 0.294
Ni 0.500 0.000 0.293
Ni 0.333 0.667 0.000
Sm 0.000 0.000 0.000
Ni 0.500 0.500 0.706

***

Entry 4:
A plane-wave DFT calculation with PBE was carried out for a geometry-optimized Dy2TmSc3As2Os structure.

Its crystal system is orthorhombic. Its space group is Amm2, No. 38.

a b c (Å): 4.085 7.516 7.516
angles (deg): 119.95 90.00 90.00
Atoms (fractional coordinates):
Dy 0.000 0.998 0.592
Dy 0.000 0.592 0.998
Os 0.000 0.006 0.006
Sc 0.500 0.999 0.238
Tm 0.000 0.405 0.405
As 0.500 0.333 0.663
Sc 0.500 0.766 0.766
Sc 0.500 0.238 0.999
As 0.500 0.663 0.333

***

no.,energy (Ry/atom),magnetic moment (μB/cell)
1,-0.3955,0.01
2,-0.4449,0.50
3,-0.4469,0.00
4,-0.4971,0.01